Record 1
# SrTc2Se GGA-PBE optimized geometry
data_SrTc2Se
_chemical_formula_sum 'Sr2 Tc4 Se2'
_space_group_name_H-M_alt 'I m m 2'
_space_group_IT_number 44
_cell_length_a 4.0902
_cell_length_b 5.7781
_cell_length_c 7.4594
_cell_angle_alpha 90.00
_cell_angle_beta 90.00
_cell_angle_gamma 90.00
loop_
_space_group_symop_operation_xyz
'x,y,z'
'-x,-y,z'
'-x,y,z'
'x,-y,z'
'x+1/2,y+1/2,z+1/2'
'-x+1/2,-y+1/2,z+1/2'
'-x+1/2,y+1/2,z+1/2'
'x+1/2,-y+1/2,z+1/2'
loop_
_atom_site_label
_atom_site_type_symbol
_atom_site_fract_x
_atom_site_fract_y
_atom_site_fract_z
_atom_site_occupancy
Sr1 Sr 0.0000 0.0000 0.0000 1
Tc1 Tc 0.0000 0.0000 0.5007 1
Tc2 Tc 0.0000 0.5000 0.8346 1
Se1 Se 0.0000 0.5000 0.2063 1
# Raw formation energy, eV per atom: 0.300
# Size of the total moment, μB per atom: 0.000


Record 2
# SrTc2Se GGA-PBE optimized geometry
data_SrTc2Se
_chemical_formula_sum 'Sr2 Tc4 Se2'
_space_group_name_H-M_alt 'C 1 2/m 1'
_space_group_IT_number 12
_cell_length_a 5.4973
_cell_length_b 10.9089
_cell_length_c 3.8640
_cell_angle_alpha 90.00
_cell_angle_beta 134.14
_cell_angle_gamma 90.00
loop_
_space_group_symop_operation_xyz
'x,y,z'
'-x,-y,-z'
'-x,y,-z'
'x,-y,z'
'x+1/2,y+1/2,z'
'-x+1/2,-y+1/2,-z'
'-x+1/2,y+1/2,-z'
'x+1/2,-y+1/2,z'
loop_
_atom_site_label
_atom_site_type_symbol
_atom_site_fract_x
_atom_site_fract_y
_atom_site_fract_z
_atom_site_occupancy
Sr1 Sr 0.0000 0.0000 0.0000 1
Tc1 Tc 0.2500 0.2500 0.5000 1
Se1 Se 0.0000 0.5000 0.0000 1
# Raw formation energy, eV per atom: 0.557
# Size of the total moment, μB per atom: 0.000


Record 3
# SrTc2Se GGA-PBE optimized geometry
data_SrTc2Se
_chemical_formula_sum 'Sr1 Tc2 Se1'
_space_group_name_H-M_alt 'P 1 m 1'
_space_group_IT_number 6
_cell_length_a 3.7276
_cell_length_b 4.0351
_cell_length_c 6.0205
_cell_angle_alpha 90.00
_cell_angle_beta 96.25
_cell_angle_gamma 90.00
loop_
_space_group_symop_operation_xyz
'x,y,z'
'x,-y,z'
loop_
_atom_site_label
_atom_site_type_symbol
_atom_site_fract_x
_atom_site_fract_y
_atom_site_fract_z
_atom_site_occupancy
Sr1 Sr 0.0000 0.0000 0.0000 1
Tc1 Tc 0.5642 0.0000 0.4585 1
Tc2 Tc 0.9162 0.5000 0.4581 1
Se1 Se 0.4527 0.5000 0.7380 1
# Raw formation energy, eV per atom: 0.032
# Size of the total moment, μB per atom: 0.000


Record 4
# SrTc2Se GGA-PBE optimized geometry
data_SrTc2Se
_chemical_formula_sum 'Sr1 Tc2 Se1'
_space_group_name_H-M_alt 'P 1 2/m 1'
_space_group_IT_number 10
_cell_length_a 3.8283
_cell_length_b 4.9824
_cell_length_c 4.8952
_cell_angle_alpha 90.00
_cell_angle_beta 96.15
_cell_angle_gamma 90.00
loop_
_space_group_symop_operation_xyz
'x,y,z'
'-x,-y,-z'
'-x,y,-z'
'x,-y,z'
loop_
_atom_site_label
_atom_site_type_symbol
_atom_site_fract_x
_atom_site_fract_y
_atom_site_fract_z
_atom_site_occupancy
Sr1 Sr 0.0000 0.0000 0.0000 1
Tc1 Tc 0.2687 0.5000 0.6339 1
Se1 Se 0.5000 0.0000 0.5000 1
# Raw formation energy, eV per atom: 0.249
# Size of the total moment, μB per atom: 0.000


Record 5
# SrTcSe2 GGA-PBE optimized geometry
data_SrTcSe2
_chemical_formula_sum 'Sr2 Tc2 Se4'
_space_group_name_H-M_alt 'I m m 2'
_space_group_IT_number 44
_cell_length_a 3.5419
_cell_length_b 3.7538
_cell_length_c 13.4599
_cell_angle_alpha 90.00
_cell_angle_beta 90.00
_cell_angle_gamma 90.00
loop_
_space_group_symop_operation_xyz
'x,y,z'
'-x,-y,z'
'-x,y,z'
'x,-y,z'
'x+1/2,y+1/2,z+1/2'
'-x+1/2,-y+1/2,z+1/2'
'-x+1/2,y+1/2,z+1/2'
'x+1/2,-y+1/2,z+1/2'
loop_
_atom_site_label
_atom_site_type_symbol
_atom_site_fract_x
_atom_site_fract_y
_atom_site_fract_z
_atom_site_occupancy
Sr1 Sr 0.0000 0.0000 0.0000 1
Tc1 Tc 0.0000 0.5000 0.7508 1
Se1 Se 0.0000 0.0000 0.3837 1
Se2 Se 0.0000 0.5000 0.1784 1
# Raw formation energy, eV per atom: -0.520
# E above lowest polymorph, meV per atom: 242
# Size of the total moment, μB per atom: 0.234


Record 6
# SrTcSe2 GGA-PBE optimized geometry
data_SrTcSe2
_chemical_formula_sum 'Sr1 Tc1 Se2'
_space_group_name_H-M_alt 'P 4 m m'
_space_group_IT_number 99
_cell_length_a 3.2767
_cell_length_b 3.2767
_cell_length_c 9.1220
_cell_angle_alpha 90.00
_cell_angle_beta 90.00
_cell_angle_gamma 90.00
loop_
_space_group_symop_operation_xyz
'x,y,z'
'-y,x,z'
'-x,-y,z'
'y,-x,z'
'-x,y,z'
'y,x,z'
'x,-y,z'
'-y,-x,z'
loop_
_atom_site_label
_atom_site_type_symbol
_atom_site_fract_x
_atom_site_fract_y
_atom_site_fract_z
_atom_site_occupancy
Sr1 Sr 0.0000 0.0000 0.0000 1
Tc1 Tc 0.5000 0.5000 0.2732 1
Se1 Se 0.0000 0.0000 0.3848 1
Se2 Se 0.5000 0.5000 0.7676 1
# Raw formation energy, eV per atom: -0.257
# E above lowest polymorph, meV per atom: 505
# Size of the total moment, μB per atom: 0.000


Record 7
# SrTcSe2 GGA-PBE optimized geometry
data_SrTcSe2
_chemical_formula_sum 'Sr4 Tc4 Se8'
_space_group_name_H-M_alt 'I -4 2 d'
_space_group_IT_number 122
_space_group_name_Hall 'I -4 2bw'
_cell_length_a 5.9885
_cell_length_b 5.9885
_cell_length_c 13.0979
_cell_angle_alpha 90.00
_cell_angle_beta 90.00
_cell_angle_gamma 90.00
loop_
_atom_site_label
_atom_site_type_symbol
_atom_site_fract_x
_atom_site_fract_y
_atom_site_fract_z
_atom_site_occupancy
Sr1 Sr 0.0000 0.0000 0.0000 1
Tc1 Tc 0.0000 0.0000 0.5000 1
Se1 Se 0.1629 0.2500 0.6250 1
# Raw formation energy, eV per atom: -0.559
# E above lowest polymorph, meV per atom: 203
# Size of the total moment, μB per atom: 0.000


Record 8
# SrTcSe2 GGA-PBE optimized geometry
data_SrTcSe2
_chemical_formula_sum 'Sr2 Tc2 Se4'
_space_group_name_H-M_alt 'C m m m'
_space_group_IT_number 65
_space_group_name_Hall '-C 2 2'
_cell_length_a 4.2345
_cell_length_b 6.3181
_cell_length_c 7.2573
_cell_angle_alpha 90.00
_cell_angle_beta 90.00
_cell_angle_gamma 90.00
loop_
_atom_site_label
_atom_site_type_symbol
_atom_site_fract_x
_atom_site_fract_y
_atom_site_fract_z
_atom_site_occupancy
Sr1 Sr 0.0000 0.0000 0.0000 1
Tc1 Tc 0.0000 0.0000 0.5000 1
Se1 Se 0.0000 0.5000 0.2861 1
# Raw formation energy, eV per atom: -0.356
# E above lowest polymorph, meV per atom: 406
# Size of the total moment, μB per atom: 0.741


Record 9
# SrTcSe2 GGA-PBE optimized geometry
data_SrTcSe2
_chemical_formula_sum 'Sr4 Tc4 Se8'
_space_group_name_H-M_alt 'F m -3 m'
_space_group_IT_number 225
_space_group_name_Hall '-F 4 2 3'
_cell_length_a 6.8952
_cell_length_b 6.8952
_cell_length_c 6.8952
_cell_angle_alpha 90.00
_cell_angle_beta 90.00
_cell_angle_gamma 90.00
loop_
_atom_site_label
_atom_site_type_symbol
_atom_site_fract_x
_atom_site_fract_y
_atom_site_fract_z
_atom_site_occupancy
Sr1 Sr 0.0000 0.0000 0.0000 1
Tc1 Tc 0.0000 0.0000 0.5000 1
Se1 Se 0.2500 0.2500 0.2500 1
# Raw formation energy, eV per atom: -0.354
# E above lowest polymorph, meV per atom: 409
# Size of the total moment, μB per atom: 0.250


Record 10
# SrTcSe2 GGA-PBE optimized geometry
data_SrTcSe2
_chemical_formula_sum 'Sr1 Tc1 Se2'
_space_group_name_H-M_alt 'P 4/m m m'
_space_group_IT_number 123
_space_group_name_Hall '-P 4 2'
_cell_length_a 4.9803
_cell_length_b 4.9803
_cell_length_c 3.4614
_cell_angle_alpha 90.00
_cell_angle_beta 90.00
_cell_angle_gamma 90.00
loop_
_atom_site_label
_atom_site_type_symbol
_atom_site_fract_x
_atom_site_fract_y
_atom_site_fract_z
_atom_site_occupancy
Sr1 Sr 0.0000 0.0000 0.0000 1
Tc1 Tc 0.5000 0.5000 0.0000 1
Se1 Se 0.0000 0.5000 0.5000 1
# Raw formation energy, eV per atom: -0.304
# E above lowest polymorph, meV per atom: 458
# Size of the total moment, μB per atom: 0.587


Record 11
# SrTcSe2 GGA-PBE optimized geometry
data_SrTcSe2
_chemical_formula_sum 'Sr1 Tc1 Se2'
_space_group_name_H-M_alt 'P m m 2'
_space_group_IT_number 25
_cell_length_a 3.9579
_cell_length_b 4.9984
_cell_length_c 4.9992
_cell_angle_alpha 90.00
_cell_angle_beta 90.00
_cell_angle_gamma 90.00
loop_
_space_group_symop_operation_xyz
'x,y,z'
'-x,-y,z'
'-x,y,z'
'x,-y,z'
loop_
_atom_site_label
_atom_site_type_symbol
_atom_site_fract_x
_atom_site_fract_y
_atom_site_fract_z
_atom_site_occupancy
Sr1 Sr 0.0000 0.0000 0.0000 1
Tc1 Tc 0.5000 0.5000 0.5012 1
Se1 Se 0.5000 0.0000 0.5000 1
Se2 Se 0.5000 0.5000 0.0010 1
# Raw formation energy, eV per atom: -0.598
# E above lowest polymorph, meV per atom: 164
# Size of the total moment, μB per atom: 0.491


Record 12
# SrTc2Se GGA-PBE optimized geometry
data_SrTc2Se
_chemical_formula_sum 'Sr1 Tc2 Se1'
_space_group_name_H-M_alt 'P 4 m m'
_space_group_IT_number 99
_cell_length_a 3.2293
_cell_length_b 3.2293
_cell_length_c 7.6302
_cell_angle_alpha 90.00
_cell_angle_beta 90.00
_cell_angle_gamma 90.00
loop_
_space_group_symop_operation_xyz
'x,y,z'
'-y,x,z'
'-x,-y,z'
'y,-x,z'
'-x,y,z'
'y,x,z'
'x,-y,z'
'-y,-x,z'
loop_
_atom_site_label
_atom_site_type_symbol
_atom_site_fract_x
_atom_site_fract_y
_atom_site_fract_z
_atom_site_occupancy
Sr1 Sr 0.0000 0.0000 0.0000 1
Tc1 Tc 0.0000 0.0000 0.4812 1
Tc2 Tc 0.5000 0.5000 0.3148 1
Se1 Se 0.5000 0.5000 0.6967 1
# Raw formation energy, eV per atom: 0.113
# Size of the total moment, μB per atom: 0.000


Record 13
# Sr2TcTeSe GGA-PBE optimized geometry
data_Sr2TcTeSe
_chemical_formula_sum 'Sr2 Tc1 Te1 Se1'
_space_group_name_H-M_alt 'P 4/m m m'
_space_group_IT_number 123
_space_group_name_Hall '-P 4 2'
_cell_length_a 5.9719
_cell_length_b 5.9719
_cell_length_c 4.6150
_cell_angle_alpha 90.00
_cell_angle_beta 90.00
_cell_angle_gamma 90.00
loop_
_atom_site_label
_atom_site_type_symbol
_atom_site_fract_x
_atom_site_fract_y
_atom_site_fract_z
_atom_site_occupancy
Sr1 Sr 0.0000 0.5000 0.0000 1
Tc1 Tc 0.0000 0.0000 0.5000 1
Te1 Te 0.5000 0.5000 0.5000 1
Se1 Se 0.0000 0.0000 0.0000 1
# Raw formation energy, eV per atom: -0.492
# Size of the total moment, μB per atom: 0.371


Record 14
# Sr2TeSe GGA-PBE optimized geometry
data_Sr2TeSe
_chemical_formula_sum 'Sr4 Te2 Se2'
_space_group_name_H-M_alt 'C m m m'
_space_group_IT_number 65
_space_group_name_Hall '-C 2 2'
_cell_length_a 5.5745
_cell_length_b 5.6173
_cell_length_c 7.9210
_cell_angle_alpha 90.00
_cell_angle_beta 90.00
_cell_angle_gamma 90.00
loop_
_atom_site_label
_atom_site_type_symbol
_atom_site_fract_x
_atom_site_fract_y
_atom_site_fract_z
_atom_site_occupancy
Sr1 Sr 0.0000 0.0000 0.2399 1
Te1 Te 0.0000 0.5000 0.5000 1
Se1 Se 0.0000 0.5000 0.0000 1
# Raw formation energy, eV per atom: -1.629
# E above lowest polymorph, meV per atom: 266
# Size of the total moment, μB per atom: 0.000


Record 15
# Sr2TeSe GGA-PBE optimized geometry
data_Sr2TeSe
_chemical_formula_sum 'Sr2 Te1 Se1'
_space_group_name_H-M_alt 'P 4/m m m'
_space_group_IT_number 123
_space_group_name_Hall '-P 4 2'
_cell_length_a 4.6136
_cell_length_b 4.6136
_cell_length_c 6.5267
_cell_angle_alpha 90.00
_cell_angle_beta 90.00
_cell_angle_gamma 90.00
loop_
_atom_site_label
_atom_site_type_symbol
_atom_site_fract_x
_atom_site_fract_y
_atom_site_fract_z
_atom_site_occupancy
Sr1 Sr 0.0000 0.0000 0.0000 1
Sr2 Sr 0.5000 0.5000 0.5000 1
Te1 Te 0.0000 0.0000 0.5000 1
Se1 Se 0.5000 0.5000 0.0000 1
# Raw formation energy, eV per atom: -1.872
# E above lowest polymorph, meV per atom: 23
# Size of the total moment, μB per atom: 0.000


Record 16
# Sr2TeSe GGA-PBE optimized geometry
data_Sr2TeSe
_chemical_formula_sum 'Sr6 Te3 Se3'
_space_group_name_H-M_alt 'R -3 m'
_space_group_IT_number 166
_space_group_name_Hall '-R 3 2"'
_cell_length_a 4.5948
_cell_length_b 4.5948
_cell_length_c 22.6135
_cell_angle_alpha 90.00
_cell_angle_beta 90.00
_cell_angle_gamma 120.00
loop_
_atom_site_label
_atom_site_type_symbol
_atom_site_fract_x
_atom_site_fract_y
_atom_site_fract_z
_atom_site_occupancy
Sr1 Sr 0.0000 0.0000 0.2450 1
Te1 Te 0.0000 0.0000 0.0000 1
Se1 Se 0.0000 0.0000 0.5000 1
# Raw formation energy, eV per atom: -1.895
# E above lowest polymorph, meV per atom: 0
# Size of the total moment, μB per atom: 0.000


Record 17
# Sr2TeSe GGA-PBE optimized geometry
data_Sr2TeSe
_chemical_formula_sum 'Sr6 Te3 Se3'
_space_group_name_H-M_alt 'R 3 m'
_space_group_IT_number 160
_space_group_name_Hall 'R 3 -2"'
_cell_length_a 4.5155
_cell_length_b 4.5155
_cell_length_c 23.6032
_cell_angle_alpha 90.00
_cell_angle_beta 90.00
_cell_angle_gamma 120.00
loop_
_atom_site_label
_atom_site_type_symbol
_atom_site_fract_x
_atom_site_fract_y
_atom_site_fract_z
_atom_site_occupancy
Sr1 Sr 0.0000 0.0000 0.0000 1
Sr2 Sr 0.0000 0.0000 0.1782 1
Te1 Te 0.0000 0.0000 0.4213 1
Se1 Se 0.0000 0.0000 0.5905 1
# Raw formation energy, eV per atom: -1.826
# E above lowest polymorph, meV per atom: 68
# Size of the total moment, μB per atom: 0.000


Record 18
# Sr2TeSe GGA-PBE optimized geometry
data_Sr2TeSe
_chemical_formula_sum 'Sr8 Te4 Se4'
_space_group_name_H-M_alt 'F m -3 m'
_space_group_IT_number 225
_space_group_name_Hall '-F 4 2 3'
_cell_length_a 7.9258
_cell_length_b 7.9258
_cell_length_c 7.9258
_cell_angle_alpha 90.00
_cell_angle_beta 90.00
_cell_angle_gamma 90.00
loop_
_atom_site_label
_atom_site_type_symbol
_atom_site_fract_x
_atom_site_fract_y
_atom_site_fract_z
_atom_site_occupancy
Sr1 Sr 0.2500 0.2500 0.2500 1
Te1 Te 0.0000 0.0000 0.0000 1
Se1 Se 0.0000 0.0000 0.5000 1
# Raw formation energy, eV per atom: -1.624
# E above lowest polymorph, meV per atom: 271
# Size of the total moment, μB per atom: 0.000


Record 19
# Sr2TeSe2 GGA-PBE optimized geometry
data_Sr2TeSe2
_chemical_formula_sum 'Sr4 Te2 Se4'
_space_group_name_H-M_alt 'P 4/m b m'
_space_group_IT_number 127
_space_group_name_Hall '-P 4 2ab'
_cell_length_a 8.4879
_cell_length_b 8.4879
_cell_length_c 4.1502
_cell_angle_alpha 90.00
_cell_angle_beta 90.00
_cell_angle_gamma 90.00
loop_
_atom_site_label
_atom_site_type_symbol
_atom_site_fract_x
_atom_site_fract_y
_atom_site_fract_z
_atom_site_occupancy
Sr1 Sr 0.1621 0.3379 0.0000 1
Te1 Te 0.0000 0.0000 0.5000 1
Se1 Se 0.1491 0.6491 0.5000 1
# Raw formation energy, eV per atom: -1.366
# Size of the total moment, μB per atom: 0.000


Record 20
# Sr2TeSe GGA-PBE optimized geometry
data_Sr2TeSe
_chemical_formula_sum 'Sr2 Te1 Se1'
_space_group_name_H-M_alt 'P 1 2/m 1'
_space_group_IT_number 10
_cell_length_a 3.9978
_cell_length_b 3.9856
_cell_length_c 7.9611
_cell_angle_alpha 90.00
_cell_angle_beta 96.50
_cell_angle_gamma 90.00
loop_
_space_group_symop_operation_xyz
'x,y,z'
'-x,-y,-z'
'-x,y,-z'
'x,-y,z'
loop_
_atom_site_label
_atom_site_type_symbol
_atom_site_fract_x
_atom_site_fract_y
_atom_site_fract_z
_atom_site_occupancy
Sr1 Sr 0.0484 0.0000 0.2584 1
Te1 Te 0.5000 0.5000 0.0000 1
Se1 Se 0.5000 0.5000 0.5000 1
# Raw formation energy, eV per atom: -1.631
# E above lowest polymorph, meV per atom: 264
# Size of the total moment, μB per atom: 0.000